1.
This record from Alexandria describes an optimized crystal structure of AlCdMo2. The functional is GGA-PBE.

Results
formation energy from the elements	0.966	eV/f.u.
energy above the most stable polymorph in this dataset	0.1404	eV per atom
DOS(E_F)	0.764	states/eV per atom
size of the total moment	0.0	Bohr magnetons per cell
crystal system	tetragonal
V	16.6	Å³/atom

Lattice parameters (Å, degrees): 4.8043 4.8043 4.8043 128.37 128.37 76.02
Fractional positions:
1 Mo 0.0000 0.0000 0.0000
2 Mo 0.2500 0.7500 0.5000
3 Al 0.5000 0.5000 0.0000
4 Cd 0.7500 0.2500 0.5000



2.
This record from Alexandria describes an optimized crystal structure of Ca2VI. The functional is GGA-PBE.

Results
energy above the most stable polymorph in this dataset	0.0303	eV per atom
DOS(E_F)	0.982	states/eV per atom
size of the total moment	9.5	Bohr magnetons per cell
crystal system	tetragonal
formation energy from raw total energies	283	meV per atom
V	34.2	Å³/atom

Lattice parameters (Å, degrees): 8.5576 8.5576 7.1139 53.02 53.02 90.00
Fractional positions:
1 I 0.0000 0.0000 0.0000
2 I 0.7500 0.2500 0.5000
3 Ca 0.6247 0.1250 0.2500
4 Ca 0.1253 0.6250 0.2500
5 Ca 0.3750 0.3753 0.7500
6 Ca 0.8750 0.8747 0.7500
7 V 0.5000 0.5000 0.0000
8 V 0.2500 0.7500 0.5000



3.
This record from Alexandria describes an optimized crystal structure of AsPOsBr2. The functional is GGA-PBE.

Results
energy above the most stable polymorph in this dataset	0.0000	eV per atom
DOS(E_F)	0.656	states/eV per atom
size of the total moment	1.7	Bohr magnetons per cell
crystal system	tetragonal
formation energy from raw total energies	1014	meV per atom
V	25.5	Å³/atom

Lattice parameters (Å, degrees): 5.2059 5.2059 4.7026 90.00 90.00 90.00
Fractional positions:
1 P 0.5000 0.5000 0.5000
2 As 0.0000 0.0000 0.5000
3 Os 0.0000 0.0000 0.0000
4 Br 0.0000 0.5000 0.0000
5 Br 0.5000 0.0000 0.0000



4.
This record from Alexandria describes an optimized crystal structure of LiUZn2. The functional is GGA-PBE.

Results
formation energy from the elements	-0.133	eV/f.u.
energy above the most stable polymorph in this dataset	0.0000	eV per atom
DOS(E_F)	0.827	states/eV per atom
size of the total moment	1.5	Bohr magnetons per cell
crystal system	tetragonal
V	16.4	Å³/atom

Lattice parameters (Å, degrees): 2.7637 2.7637 8.6024 90.00 90.00 90.00
Fractional positions:
1 Zn 0.0000 0.0000 0.7813
2 Zn 0.0000 0.0000 0.2187
3 U 0.5000 0.5000 0.5000
4 Li 0.5000 0.5000 0.0000



5.
This record from Alexandria describes an optimized crystal structure of Pr4TmSc. The functional is GGA-PBE.

Results
formation energy from the elements	3.377	eV/f.u.
energy above the most stable polymorph in this dataset	0.5276	eV per atom
DOS(E_F)	1.725	states/eV per atom
size of the total moment	0.0	Bohr magnetons per cell
crystal system	orthorhombic
V	38.7	Å³/atom

Lattice parameters (Å, degrees): 3.4821 8.1694 8.1693 90.19 90.00 90.00
Fractional positions:
1 Pr 0.5000 0.2664 0.7337
2 Pr 0.0000 0.7557 0.7557
3 Pr 0.0000 0.2443 0.2443
4 Pr 0.5000 0.7336 0.2663
5 Tm 0.5000 0.0000 0.0000
6 Sc 0.0000 0.5000 0.5000



6.
This record from Alexandria describes an optimized crystal structure of Rb3Ag9Sb4S12. The functional is GGA-PBE.

Results
DOS(E_F)	0.000	states/eV per atom
size of the total moment	0.0	Bohr magnetons per cell
crystal system	tetragonal
formation energy from raw total energies	-369	meV per atom
V	26.1	Å³/atom

Lattice parameters (Å, degrees): 9.8412 9.8412 9.8412 111.30 111.30 105.88
Fractional positions:
1 Rb 0.0000 0.0000 0.0000
2 Rb 0.6691 0.6691 0.0000
3 Rb 0.3309 0.3309 0.0000
4 Ag 0.2500 0.7500 0.5000
5 Ag 0.3507 0.4972 0.5083
6 Ag 0.9889 0.8424 0.4917
7 Ag 0.5118 0.0074 0.1744
8 Ag 0.8330 0.3374 0.8256
9 Ag 0.6626 0.4882 0.4956
10 Ag 0.9926 0.1670 0.5044
11 Ag 0.5028 0.0111 0.8536
12 Ag 0.1576 0.6493 0.1464
13 Sb 0.1128 0.6019 0.7382
14 Sb 0.8637 0.3746 0.2618
15 Sb 0.6254 0.8872 0.4892
16 Sb 0.3981 0.1363 0.5108
17 S 0.2004 0.8790 0.7692
18 S 0.1098 0.4312 0.2308
19 S 0.9086 0.1156 0.7023
20 S 0.4133 0.2064 0.2977
21 S 0.7936 0.0914 0.2070
22 S 0.8844 0.5867 0.7930
23 S 0.1210 0.8902 0.3214
24 S 0.5688 0.7996 0.6786
25 S 0.3346 0.6919 0.0213
26 S 0.6706 0.3133 0.9787
27 S 0.6867 0.6654 0.3573
28 S 0.3081 0.3294 0.6427



7.
This record from Alexandria describes an optimized crystal structure of La2Er4Tm5. The functional is GGA-PBE.

Results
formation energy from the elements	1.363	eV/f.u.
energy above the most stable polymorph in this dataset	0.0653	eV per atom
DOS(E_F)	1.678	states/eV per atom
size of the total moment	1.0	Bohr magnetons per cell
crystal system	monoclinic
V	32.0	Å³/atom

Lattice parameters (Å, degrees): 3.4919 8.6928 11.6554 84.53 90.00 90.00
Fractional positions:
1 La 0.0000 0.9638 0.6418
2 La 0.0000 0.0362 0.3582
3 Er 0.5000 0.3098 0.5532
4 Er 0.5000 0.8410 0.9003
5 Er 0.5000 0.6902 0.4468
6 Er 0.5000 0.1590 0.0997
7 Tm 0.0000 0.4267 0.2950
8 Tm 0.0000 0.7958 0.1624
9 Tm 0.0000 0.5000 0.0000
10 Tm 0.0000 0.2042 0.8376
11 Tm 0.0000 0.5733 0.7050



8.
This record from Alexandria describes an optimized crystal structure of Pr7Dy3Er2. The functional is GGA-PBE.

Results
formation energy from the elements	0.874	eV/f.u.
energy above the most stable polymorph in this dataset	0.0000	eV per atom
DOS(E_F)	1.438	states/eV per atom
size of the total moment	0.0	Bohr magnetons per cell
crystal system	monoclinic
V	34.2	Å³/atom

Lattice parameters (Å, degrees): 3.5809 6.5111 18.2155 74.97 90.00 90.00
Fractional positions:
1 Pr 0.5000 0.2354 0.5072
2 Pr 0.5000 0.7646 0.4928
3 Pr 0.0000 0.5547 0.1682
4 Pr 0.0000 0.0000 0.0000
5 Pr 0.0000 0.4453 0.8318
6 Pr 0.5000 0.9486 0.8273
7 Pr 0.5000 0.0514 0.1727
8 Dy 0.5000 0.5000 0.0000
9 Dy 0.0000 0.1164 0.3399
10 Dy 0.0000 0.8836 0.6601
11 Er 0.5000 0.6096 0.3303
12 Er 0.5000 0.3904 0.6697



9.
This record from Alexandria describes an optimized crystal structure of CeMgTlIn. The functional is GGA-PBE.

Results
formation energy from the elements	-1.043	eV/f.u.
energy above the most stable polymorph in this dataset	0.0000	eV per atom
DOS(E_F)	1.845	states/eV per atom
size of the total moment	0.9	Bohr magnetons per cell
crystal system	orthorhombic
V	26.3	Å³/atom

Lattice parameters (Å, degrees): 4.5941 4.7722 4.7909 90.00 90.00 90.00
Fractional positions:
1 Ce 0.0000 0.0000 0.0000
2 Mg 0.0000 0.5000 0.5000
3 Tl 0.5000 0.0000 0.5000
4 In 0.5000 0.5000 0.0000



10.
This record from Alexandria describes an optimized crystal structure of Tb2YEr5Mg. The functional is GGA-PBE.

Results
formation energy from the elements	0.960	eV/f.u.
DOS(E_F)	1.471	states/eV per atom
size of the total moment	0.0	Bohr magnetons per cell
crystal system	orthorhombic
V	31.0	Å³/atom

Lattice parameters (Å, degrees): 5.3846 10.2739 10.4546 90.00 90.00 105.19
Fractional positions:
1 Tb 0.8854 0.7708 0.7982
2 Tb 0.1148 0.2296 0.7192
3 Tb 0.1146 0.2292 0.2982
4 Tb 0.8852 0.7704 0.2192
5 Y 0.7941 0.5881 0.5086
6 Y 0.2059 0.4118 0.0086
7 Er 0.3842 0.7683 0.0086
8 Er 0.7097 0.4195 0.8062
9 Er 0.4994 0.9988 0.7575
10 Er 0.2914 0.5827 0.7106
11 Er 0.9856 0.9711 0.5087
12 Er 0.6158 0.2317 0.5086
13 Er 0.2903 0.5805 0.3062
14 Er 0.5006 0.0012 0.2575
15 Er 0.7086 0.4173 0.2106
16 Er 0.0144 0.0289 0.0087
17 Mg 0.5946 0.1891 0.0065
18 Mg 0.4054 0.8109 0.5065



11.
This record from Alexandria describes an optimized crystal structure of ZnOs3. The functional is GGA-PBE.

Results
formation energy from the elements	1.291	eV/f.u.
DOS(E_F)	0.940	states/eV per atom
size of the total moment	0.0	Bohr magnetons per cell
crystal system	orthorhombic
V	14.3	Å³/atom

Lattice parameters (Å, degrees): 4.3927 4.7861 5.4315 90.00 90.00 90.00
Fractional positions:
1 Zn 0.0000 0.3497 0.0000
2 Zn 0.5000 0.6503 0.5000
3 Os 0.5000 0.6521 0.0000
4 Os 0.0000 0.8520 0.2602
5 Os 0.5000 0.1480 0.2398
6 Os 0.0000 0.3479 0.5000
7 Os 0.0000 0.8520 0.7398
8 Os 0.5000 0.1480 0.7602



12.
This record from Alexandria describes an optimized crystal structure of PIrF. The functional is GGA-PBE.

Results
energy above the most stable polymorph in this dataset	0.4545	eV per atom
DOS(E_F)	0.525	states/eV per atom
size of the total moment	0.0	Bohr magnetons per cell
crystal system	triclinic
formation energy from raw total energies	-546	meV per atom
V	15.6	Å³/atom

Lattice parameters (Å, degrees): 2.9134 2.9137 5.5271 88.49 89.35 89.95
Fractional positions:
1 P 0.5809 0.1528 0.1207
2 Ir 0.0763 0.6423 0.3431
3 F 0.0677 0.6195 0.7037



Going through the records in order, we get DFT total energy values of -0.4659 -0.2488 -0.2876 -0.2918 -0.3252 -0.2754 -0.3281 -0.3400 -0.2513 -0.3199 -0.6187 -0.4356 Ry per atom.